# 1
Density functional theory data (PBE) for a relaxed Ce2HoTmBi4 crystal.

Raw total energy in eV per atom: -5.356
Space group: P2/m (10)
Formation energy in meV/atom: -801

abc: 7.8272 4.5286 7.8436
angles: 90.00 109.51 90.00
Positions (direct):
1 Ce 0.0000 0.0000 0.0000
2 Ce 0.0000 0.5000 0.5000
3 Ho 0.5000 0.0000 0.5000
4 Tm 0.5000 0.5000 0.0000
5 Bi 0.2588 0.5000 0.2520
6 Bi 0.2596 0.0000 0.7541
7 Bi 0.7404 0.0000 0.2459
8 Bi 0.7412 0.5000 0.7480

=====

# 2
Density functional theory data (PBE) for a relaxed Ca2AuI crystal.

Raw total energy in eV per atom: -3.172
Space group: R3m (160)
Formation energy (no corrections) in eV/atom: -0.96
Energy above the most stable polymorph in this dataset in meV/atom: 0

abc: 8.3278 8.3278 8.3278
angles: 30.25 30.25 30.25
Positions (direct):
1 Ca 0.0000 0.0000 0.0000
2 Ca 0.2010 0.2010 0.2010
3 Au 0.6013 0.6013 0.6013
4 I 0.4310 0.4310 0.4310